The following is a DFT calculation (PBE) of crystalline AcYHo5 at its relaxed geometry.

The density of states at the Fermi level is 38.2 states/eV per cell. The value obtained for the formation enthalpy at 0 K is 0.200 eV per atom. Its density is 8.03 g cm⁻³. As for the total energy: -4.5798 eV/atom.

The space group is C2/c (No. 15) and the conventional cell measures 11.767, 6.829 and 12.491 Å, with angles of 90.00, 109.92 and 90.00 degrees. The distinct sites, in fractional coordinates, are Ac at (0.250, 0.250, 0.000), Y at (0.000, 0.038, 0.250), Ho at (0.000, 0.415, 0.750), Ho at (0.073, 0.279, 0.498) and Ho at (0.225, 0.363, 0.258).

=====

The following is a DFT calculation (PBE) of crystalline Ac2Y2Ho15 at its relaxed geometry.

The density of states at the Fermi level is 98.8 states/eV per cell. The value obtained for the formation enthalpy at 0 K is 0.286 eV per atom. Its density is 7.99 g cm⁻³. As for the total energy: -4.4411 eV/atom.

The space group is R-3m (No. 166, hexagonal axes) and the conventional cell measures 11.2767, 11.2767 and 17.5840 Å, with angles of 90.00, 90.00 and 120.00 degrees. The distinct sites, in fractional coordinates, are Ac at (0.0000, 0.0000, 0.1125), Y at (0.0000, 0.0000, 0.3310), Ho at (0.0000, 0.3081, 0.0000), Ho at (0.0000, 0.5000, 0.5000) and Ho at (0.0169, 0.5085, 0.1385).